First-principles (GGA-PBE) data for crystalline PrSmNp2As4 at its relaxed geometry, as listed in Alexandria.

Cell lengths 4.159, 7.246, 7.254 Å; angles 109.22, 90.00, 90.00 degrees
Fractional coordinates of all 8 atoms:
Pr 0.000 0.000 0.000
Sm 0.500 0.500 0.000
Np 0.500 0.000 0.500
Np 0.000 0.500 0.500
As 0.500 0.257 0.263
As 0.500 0.743 0.737
As 0.000 0.249 0.739
As 0.000 0.751 0.261

E_form, eV per atom: -1.0671
Fermi-level density of states, states/eV/f.u.: 23.326